BaFe2F: relaxed, PBE+U.

Calculated total energy (eV per atom): -3.36
SG: Fm-3m (225)

Cell lengths 5.232, 5.232, 5.232 Å; angles 60.00, 60.00, 60.00 degrees
Fractional coordinates of all 4 atoms:
F  0.000  0.000  0.000
Ba  0.500  0.500  0.500
Fe  0.750  0.750  0.750
Fe  0.250  0.250  0.250